This record from Alexandria describes an optimized crystal structure of Pr4BiAs2P. The functional is GGA-PBE.

Cell lengths 7.558, 4.358, 7.589 Å; angles 90.00, 109.36, 90.00 degrees
Space group P2/m (No. 10)
Asymmetric unit:
Pr  0.239  0.000  0.234 x2
Pr  0.248  0.500  0.761 x2
Bi  0.500  0.500  0.500 x1
As  0.000  0.000  0.500 x1
As  0.000  0.500  0.000 x1
P  0.500  0.000  0.000 x1

Properties
E_form, eV per atom: -1.32

=====

This record from Alexandria describes an optimized crystal structure of LaMg2GePd2. The functional is GGA-PBE.

Cell lengths 5.023, 5.023, 11.119 Å; angles 90.00, 90.00, 90.00 degrees
Space group I4/mmm (No. 139)
Asymmetric unit:
La  0.000  0.000  0.000 x2
Mg  0.000  0.500  0.250 x4
Ge  0.000  0.000  0.500 x2
Pd  0.000  0.000  0.286 x4

Properties
E_form, eV per atom: -0.44

=====

This record from Alexandria describes an optimized crystal structure of ScBe2Re2. The functional is GGA-PBE.

Cell lengths 6.268, 6.268, 3.230 Å; angles 90.00, 90.00, 90.00 degrees
Space group P4/mbm (No. 127)
Asymmetric unit:
Sc  0.000  0.000  0.000 x2
Be  0.116  0.384  0.000 x4
Re  0.171  0.671  0.500 x4

Properties
E_form, eV per atom: -0.22

=====

This record from Alexandria describes an optimized crystal structure of Tl2AuS2. The functional is GGA-PBE.

Cell lengths 7.843, 7.843, 3.791 Å; angles 90.00, 90.00, 90.00 degrees
Space group P4/mbm (No. 127)
Asymmetric unit:
Tl  0.163  0.337  0.000 x4
Au  0.000  0.000  0.000 x2
S  0.143  0.643  0.500 x4

Properties
Energy relative to the lowest polymorph listed for this composition, eV per formula unit: 2.23
Formation energy without anion corrections, eV/atom: 0.26

=====

This record from Alexandria describes an optimized crystal structure of HfCu3Ni. The functional is GGA-PBE.

Cell lengths 4.325, 4.325, 4.325 Å; angles 90.00, 90.00, 90.00 degrees
Space group Pm-3m (No. 221)
Asymmetric unit:
Hf  0.000  0.000  0.000 x1
Cu  0.000  0.500  0.500 x3
Ni  0.500  0.500  0.500 x1

Properties
Energy relative to the lowest polymorph listed for this composition, eV per formula unit: 3.69
E_form, eV per atom: 0.61

=====

This record from Alexandria describes an optimized crystal structure of KSnF3. The functional is GGA-PBE.

Cell lengths 7.091, 8.697, 6.654 Å; angles 90.00, 90.00, 90.00 degrees
Space group Pnma (No. 62)
Asymmetric unit:
K  0.000  0.000  0.000 x4
Sn  0.039  0.250  0.485 x4
F  0.083  0.750  0.230 x4
F  0.153  0.583  0.625 x8

Properties
Formation energy without anion corrections, eV/atom: -2.52

=====

This record from Alexandria describes an optimized crystal structure of NiBPt. The functional is GGA-PBE.

Cell lengths 2.783, 5.159, 5.201 Å; angles 69.09, 74.55, 74.39 degrees
Space group P-1 (No. 2)
Asymmetric unit:
Ni  0.057  0.243  0.143 x2
B  0.391  0.553  0.166 x2
Pt  0.323  0.232  0.619 x2

Properties
E_form, eV per atom: -0.21

=====

This record from Alexandria describes an optimized crystal structure of Dy2Tm3Sb2. The functional is GGA-PBE.

Cell lengths 11.923, 4.243, 8.402 Å; angles 90.00, 108.98, 90.00 degrees
Space group C2/m (No. 12)
Asymmetric unit:
Dy  0.130  0.000  0.281 x4
Tm  0.000  0.500  0.500 x2
Tm  0.126  0.500  0.945 x4
Sb  0.173  0.000  0.693 x4

Properties
Formation energy without anion corrections, eV/atom: -0.62

=====

This record from Alexandria describes an optimized crystal structure of ZrCdRh. The functional is GGA-PBE.

Cell lengths 3.484, 3.484, 9.411 Å; angles 90.00, 90.00, 90.00 degrees
Space group I4mm (No. 107)
Asymmetric unit:
Zr  0.000  0.000  0.000 x2
Cd  0.000  0.000  0.690 x2
Rh  0.000  0.000  0.367 x2

Properties
E_form, eV per atom: -0.45

=====

This record from Alexandria describes an optimized crystal structure of ThReTc. The functional is GGA-PBE.

Cell lengths 4.242, 4.437, 7.353 Å; angles 90.00, 90.00, 90.00 degrees
Space group Pmn2_1 (No. 31)
Asymmetric unit:
Th  0.000  0.008  0.000 x2
Re  0.000  0.476  0.333 x2
Tc  0.000  0.484  0.667 x2

Properties
Energy relative to the lowest polymorph listed for this composition, eV per formula unit: 0.09
E_form, eV per atom: 0.14

=====

This record from Alexandria describes an optimized crystal structure of La2SmErTh. The functional is GGA-PBE.

Cell lengths 9.213, 6.362, 6.549 Å; angles 90.00, 110.36, 90.00 degrees
Space group P2/c (No. 13)
Asymmetric unit:
La  0.185  0.193  0.342 x4
Sm  0.000  0.336  0.750 x2
Er  0.500  0.001  0.750 x2
Th  0.500  0.500  0.000 x2

Properties
E_form, eV per atom: 0.31

=====

This record from Alexandria describes an optimized crystal structure of PmSmSeS. The functional is GGA-PBE.

Cell lengths 4.0961, 4.0961, 20.2360 Å; angles 90.00, 90.00, 120.00 degrees
Space group R3m (No. 160, hexagonal axes)
Asymmetric unit:
Pm  0.0000  0.0000  0.0000 x3
Sm  0.0000  0.0000  0.4837 x3
Se  0.0000  0.0000  0.2412 x3
S  0.0000  0.0000  0.7427 x3

Properties
Formation energy without anion corrections, eV/atom: -1.94

=====

Calculated calculated volume (Å³ per atom), listed in the same order as above: 29.48; 23.37; 12.69; 23.32; 16.18; 20.52; 11.00; 28.71; 19.04; 23.06; 35.99; 24.50